Record 1
VASP calculation (GGA-PBE) on a geometry-optimized BaLiLa2 structure.

## Properties
Calculated formation energy, kJ/mol of formula units: 97
Distance to the lowest polymorph of the same formula, meV per atom: 159

Cell: 3.707 5.737 7.140 Å, 90.00 90.00 90.00°
Fractional coordinates of all 4 atoms:
Ba: 0.500 0.500 0.750
La: 0.000 0.000 0.025
La: 0.000 0.000 0.475
Li: 0.500 0.500 0.250

=====

Record 2
VASP calculation (GGA-PBE) on a geometry-optimized Hf2ZnBr structure.

## Properties
Distance to the lowest polymorph of the same formula, meV per atom: 191

Cell: 4.214 4.214 10.421 Å, 78.34 78.34 90.00°
Fractional coordinates of all 8 atoms:
Br: 0.000 0.000 0.000
Hf: 0.131 0.625 0.250
Hf: 0.375 0.381 0.750
Br: 0.750 0.250 0.500
Zn: 0.500 0.500 0.000
Zn: 0.250 0.750 0.500
Hf: 0.875 0.869 0.750
Hf: 0.619 0.125 0.250

=====

The highest distance to the lowest polymorph of the same formula belongs to which entry?
Hf2ZnBr

=====

What is the formula in the second record?
Hf2ZnBr

=====

Repeat the first record exactly.
VASP calculation (GGA-PBE) on a geometry-optimized BaLiLa2 structure.

## Properties
Calculated formation energy, kJ/mol of formula units: 97
Distance to the lowest polymorph of the same formula, meV per atom: 159

Cell: 3.707 5.737 7.140 Å, 90.00 90.00 90.00°
Fractional coordinates of all 4 atoms:
Ba: 0.500 0.500 0.750
La: 0.000 0.000 0.025
La: 0.000 0.000 0.475
Li: 0.500 0.500 0.250